{
  "formula": "U2ReOs",
  "functional": "PBE",
  "state": "optimized geometry",
  "cell": [[2.8230, 0.0000, 0.0000], [1.4115, 2.4448, 0.0000], [1.4115, 0.8149, 10.3536]],
  "species": ["Re", "U", "U", "Os"],
  "fractional_positions": [[0.5000, 0.5000, 0.5000], [0.7468, 0.7468, 0.7595], [0.2532, 0.2532, 0.2405], [0.0000, 0.0000, 0.0000]],
  "ef_mev_per_atom": 352.7,
  "space_group": "R-3m, No. 166",
  "m_tot_mub_per_atom": 0.00,
  "mass_density_kg_m3": 19811
}